1.
A relaxed AlNi8B2 crystal, computed with PBE.

E_form   -0.27 eV/atom
Total magnetization   0.0 μB per formula unit
Electronic total energy   -6.03 eV/atom

Cell lengths 3.928, 5.656, 5.656 Å; angles 111.60, 98.39, 98.39 degrees
Positions (direct):
Al 0.500 0.000 0.000
Ni 0.914 0.931 0.670
Ni 0.914 0.670 0.931
Ni 0.299 0.606 0.606
Ni 0.500 0.746 0.254
Ni 0.500 0.254 0.746
Ni 0.701 0.394 0.394
Ni 0.086 0.330 0.069
Ni 0.086 0.069 0.330
B 0.000 0.316 0.684
B 0.000 0.684 0.316

---

2.
A relaxed Al5Ni41B12 crystal, computed with PBE.

E_form   -0.37 eV/atom
Total magnetization   0.3 μB per formula unit
Electronic total energy   -6.17 eV/atom

Cell lengths 12.844, 12.844, 12.844 Å; angles 33.51, 33.51, 33.51 degrees
Site moments in Bohr magnetons follow the coordinates.
Positions (direct):
Al 0.625 0.625 0.625  0.00
Al 0.125 0.125 0.125  0.00
Al 0.875 0.875 0.875  0.00
Al 0.375 0.375 0.375  0.00
Al 0.500 0.500 0.500  0.00
Ni 0.500 0.838 0.162  0.00
Ni 0.000 0.338 0.662  0.02
Ni 0.162 0.838 0.500  0.00
Ni 0.662 0.338 0.000  0.02
Ni 0.832 0.168 0.832  0.01
Ni 0.330 0.670 0.330  0.00
Ni 0.000 0.662 0.338  0.02
Ni 0.500 0.162 0.838  0.00
Ni 0.832 0.832 0.168  0.01
Ni 0.330 0.330 0.670  0.00
Ni 0.662 0.000 0.338  0.02
Ni 0.162 0.500 0.838  0.00
Ni 0.330 0.670 0.670  0.00
Ni 0.832 0.168 0.168  0.01
Ni 0.670 0.670 0.330  0.00
Ni 0.168 0.168 0.832  0.01
Ni 0.670 0.330 0.670  0.00
Ni 0.168 0.832 0.168  0.01
Ni 0.168 0.832 0.832  0.01
Ni 0.670 0.330 0.330  0.00
Ni 0.338 0.662 0.000  0.02
Ni 0.838 0.162 0.500  0.00
Ni 0.838 0.500 0.162  0.00
Ni 0.338 0.000 0.662  0.02
Ni 0.426 0.956 0.426  0.00
Ni 0.926 0.456 0.926  0.00
Ni 0.426 0.426 0.956  0.00
Ni 0.926 0.926 0.456  0.00
Ni 0.191 0.191 0.191  0.00
Ni 0.691 0.691 0.691  0.00
Ni 0.956 0.426 0.426  0.00
Ni 0.456 0.926 0.926  0.00
Ni 0.074 0.544 0.074  0.00
Ni 0.574 0.044 0.574  0.00
Ni 0.074 0.074 0.544  0.00
Ni 0.574 0.574 0.044  0.00
Ni 0.309 0.309 0.309  0.00
Ni 0.809 0.809 0.809  0.00
Ni 0.544 0.074 0.074  0.00
Ni 0.044 0.574 0.574  0.00
Ni 0.000 0.000 0.000  0.13
B 0.363 0.910 0.363  0.00
B 0.863 0.410 0.863  0.00
B 0.590 0.137 0.137  0.00
B 0.090 0.637 0.637  0.00
B 0.137 0.137 0.590  0.00
B 0.637 0.637 0.090  0.00
B 0.137 0.590 0.137  0.00
B 0.637 0.090 0.637  0.00
B 0.363 0.363 0.910  0.00
B 0.863 0.863 0.410  0.00
B 0.910 0.363 0.363  0.00
B 0.410 0.863 0.863  0.00

---

3.
A relaxed Al3NiB crystal, computed with PBE.

E_form   0.26 eV/atom
Total magnetization   0.0 μB per formula unit
Electronic total energy   -4.48 eV/atom
Excess energy over the best structure of this formula in the dataset   0 meV/atom

Cell lengths 4.083, 4.083, 4.083 Å; angles 90.00, 90.00, 90.00 degrees
Positions (direct):
Ni 0.500 0.500 0.500
B 0.000 0.000 0.000
Al 0.000 0.500 0.000
Al 0.000 0.000 0.500
Al 0.500 0.000 0.000

---

4.
A relaxed Al6Ni12B crystal, computed with PBE.

E_form   -0.33 eV/atom
Total magnetization   0.0 μB per formula unit
Electronic total energy   -5.52 eV/atom

Cell lengths 6.055, 6.055, 6.055 Å; angles 91.94, 91.94, 91.94 degrees
Positions (direct):
Al 0.701 0.883 0.268
Al 0.732 0.299 0.117
Al 0.117 0.732 0.299
Al 0.299 0.117 0.732
Al 0.268 0.701 0.883
Al 0.883 0.268 0.701
Ni 0.791 0.548 0.448
Ni 0.448 0.791 0.548
Ni 0.548 0.448 0.791
Ni 0.209 0.452 0.552
Ni 0.552 0.209 0.452
Ni 0.452 0.552 0.209
Ni 0.025 0.133 0.344
Ni 0.867 0.656 0.975
Ni 0.656 0.975 0.867
Ni 0.975 0.867 0.656
Ni 0.133 0.344 0.025
Ni 0.344 0.025 0.133
B 0.000 0.000 0.000

---

5.
A relaxed AlNi4B crystal, computed with PBE.

E_form   -0.16 eV/atom
Total magnetization   0.0 μB per formula unit
Electronic total energy   -5.75 eV/atom

Cell lengths 3.465, 3.468, 5.812 Å; angles 89.98, 90.00, 90.00 degrees
Positions (direct):
Al 0.501 0.497 0.998
Ni 0.501 0.997 0.292
Ni 0.501 0.997 0.704
Ni 0.001 0.497 0.704
Ni 0.001 0.497 0.292
B 0.001 0.997 0.498

---

6.
A relaxed AlNi10B3 crystal, computed with PBE.

E_form   -0.32 eV/atom
Total magnetization   0.0 μB per formula unit
Electronic total energy   -6.15 eV/atom

Cell lengths 7.374, 7.374, 7.374 Å; angles 60.00, 60.00, 60.00 degrees
Positions (direct):
Al 0.250 0.250 0.250
Al 0.750 0.750 0.750
Ni 0.000 0.000 0.335
Ni 0.000 0.335 0.000
Ni 0.335 0.000 0.000
Ni 0.665 0.335 0.000
Ni 0.382 0.382 0.382
Ni 0.147 0.618 0.618
Ni 0.382 0.853 0.382
Ni 0.665 0.000 0.335
Ni 0.382 0.382 0.853
Ni 0.853 0.382 0.382
Ni 0.618 0.618 0.147
Ni 0.000 0.000 0.665
Ni 0.335 0.665 0.000
Ni 0.000 0.665 0.335
Ni 0.000 0.335 0.665
Ni 0.665 0.000 0.000
Ni 0.618 0.618 0.618
Ni 0.000 0.665 0.000
Ni 0.618 0.147 0.618
Ni 0.335 0.000 0.665
B 0.727 0.727 0.273
B 0.727 0.273 0.727
B 0.273 0.727 0.727
B 0.273 0.273 0.727
B 0.727 0.273 0.273
B 0.273 0.727 0.273

---

7.
A relaxed Al3Ni20B6 crystal, computed with PBE.

E_form   -0.40 eV/atom
Total magnetization   0.0 μB per formula unit
Electronic total energy   -6.16 eV/atom

Cell lengths 7.417, 7.417, 7.417 Å; angles 60.00, 60.00, 60.00 degrees
Positions (direct):
Al 0.000 0.000 0.000
Al 0.750 0.750 0.750
Al 0.250 0.250 0.250
Ni 0.000 0.338 0.662
Ni 0.000 0.000 0.662
Ni 0.662 0.338 0.000
Ni 0.000 0.338 0.000
Ni 0.338 0.000 0.662
Ni 0.338 0.000 0.000
Ni 0.662 0.000 0.000
Ni 0.338 0.662 0.000
Ni 0.662 0.000 0.338
Ni 0.000 0.000 0.338
Ni 0.000 0.662 0.000
Ni 0.000 0.662 0.338
Ni 0.617 0.148 0.617
Ni 0.383 0.383 0.852
Ni 0.852 0.383 0.383
Ni 0.383 0.383 0.383
Ni 0.148 0.617 0.617
Ni 0.617 0.617 0.617
Ni 0.617 0.617 0.148
Ni 0.383 0.852 0.383
B 0.727 0.273 0.727
B 0.727 0.273 0.273
B 0.273 0.727 0.727
B 0.273 0.273 0.727
B 0.727 0.727 0.273
B 0.273 0.727 0.273

---

8.
A relaxed AlNi3B crystal, computed with PBE.

E_form   -0.38 eV/atom
Total magnetization   0.0 μB per formula unit
Electronic total energy   -5.94 eV/atom
Excess energy over the best structure of this formula in the dataset   0 meV/atom

Cell lengths 4.078, 5.472, 5.472 Å; angles 120.00, 90.00, 90.00 degrees
Positions (direct):
Al 0.250 0.333 0.667
Al 0.750 0.667 0.333
Ni 0.250 0.819 0.181
Ni 0.750 0.181 0.819
Ni 0.250 0.819 0.637
Ni 0.750 0.181 0.363
Ni 0.250 0.363 0.181
Ni 0.750 0.637 0.819
B 0.000 0.000 0.000
B 0.500 0.000 0.000

---

9.
A relaxed AlNiB2 crystal, computed with PBE.

E_form   0.72 eV/atom
Total magnetization   0.0 μB per formula unit
Electronic total energy   -5.00 eV/atom

Cell lengths 5.200, 5.200, 5.190 Å; angles 59.94, 59.94, 90.00 degrees
Positions (direct):
Ni 0.000 0.000 0.000
Ni 0.750 0.250 0.500
B 0.667 0.125 0.250
B 0.083 0.625 0.250
B 0.375 0.333 0.750
B 0.875 0.917 0.750
Al 0.500 0.500 0.000
Al 0.250 0.750 0.500